Computed, not measured: an optimized crystal structure of PuZrOsRh at the PBE-GGA level of DFT.

Lattice parameters (Å, degrees): 4.7379 4.7379 4.7379 60.00 60.00 60.00
Closest atoms and distances in Å follow each position.
Positions (direct):
Pu 0.0000 0.0000 0.0000  4 Os 2.90, 4 Rh 2.90
Zr 0.5000 0.5000 0.5000  4 Os 2.90, 4 Rh 2.90
Os 0.7500 0.7500 0.7500  4 Zr 2.90, 4 Pu 2.90
Rh 0.2500 0.2500 0.2500  4 Zr 2.90, 4 Pu 2.90



Computed, not measured: an optimized crystal structure of Pu8Os2Ru3 at the PBE-GGA level of DFT.

Lattice parameters (Å, degrees): 4.8661 6.9382 8.1308 95.06 98.55 103.26
Closest atoms and distances in Å follow each position.
Positions (direct):
Pu 0.0460 0.1050 0.3340  2 Ru 2.69-2.81, 1 Os 2.72, 1 Pu 2.93
Pu 0.1799 0.3706 0.0385  2 Pu 2.61-2.83, 1 Os 2.70, 1 Ru 2.79
Pu 0.2455 0.5940 0.4070  3 Ru 2.67-2.82, 1 Os 2.88
Pu 0.3003 0.8810 0.1011  1 Pu 2.61
Pu 0.6997 0.1190 0.8989  1 Pu 2.61
Pu 0.7545 0.4060 0.5930  3 Ru 2.67-2.82, 1 Os 2.88
Pu 0.8201 0.6294 0.9615  2 Pu 2.61-2.83, 1 Os 2.70, 1 Ru 2.79
Pu 0.9540 0.8950 0.6660  2 Ru 2.69-2.81, 1 Os 2.72, 1 Pu 2.93
Os 0.3639 0.7002 0.7655  5 Pu 2.70-3.00, 1 Ru 2.72
Os 0.6361 0.2998 0.2345  5 Pu 2.70-3.00, 1 Ru 2.72
Ru 0.2643 0.2954 0.7096  5 Pu 2.67-2.99, 1 Os 2.72
Ru 0.5000 0.0000 0.5000  4 Pu 2.69-2.79
Ru 0.7357 0.7046 0.2904  5 Pu 2.67-2.99, 1 Os 2.72



Computed, not measured: an optimized crystal structure of Pu2OsRu at the PBE-GGA level of DFT.

Lattice parameters (Å, degrees): 4.6820 4.6820 3.5275 90.00 90.00 90.00
Closest atoms and distances in Å follow each position.
Positions (direct):
Pu 0.0000 0.5000 0.0000  4 Ru 2.93, 4 Os 2.93
Pu 0.5000 0.0000 0.0000  4 Ru 2.93, 4 Os 2.93
Os 0.0000 0.0000 0.5000  8 Pu 2.93
Ru 0.5000 0.5000 0.5000  8 Pu 2.93



Computed, not measured: an optimized crystal structure of Pu5OsRu4 at the PBE-GGA level of DFT.

Lattice parameters (Å, degrees): 3.3179 3.3179 17.5265 90.00 90.00 90.00
Closest atoms and distances in Å follow each position.
Positions (direct):
Pu 0.0000 0.0000 0.0000  8 Ru 2.93
Pu 0.0000 0.0000 0.1994  8 Ru 2.91-2.92
Pu 0.0000 0.0000 0.3994  4 Os 2.93, 4 Ru 2.94
Pu 0.0000 0.0000 0.6006  4 Os 2.93, 4 Ru 2.94
Pu 0.0000 0.0000 0.8006  8 Ru 2.91-2.92
Os 0.5000 0.5000 0.5000  8 Pu 2.93
Ru 0.5000 0.5000 0.0998  8 Pu 2.92-2.93
Ru 0.5000 0.5000 0.2980  8 Pu 2.91-2.94
Ru 0.5000 0.5000 0.7020  8 Pu 2.91-2.94
Ru 0.5000 0.5000 0.9002  8 Pu 2.92-2.93



Computed, not measured: an optimized crystal structure of Pu6OsRu2 at the PBE-GGA level of DFT.

Calculated values
- Polymorph energy (0 for the lowest one): 109.5 meV per atom

Lattice parameters (Å, degrees): 7.6595 7.6595 2.8873 90.00 90.00 120.00
Closest atoms and distances in Å follow each position.
Positions (direct):
Pu 0.0000 0.3361 0.4130  3 Pu 2.56-2.62, 2 Ru 2.81, 1 Os 2.84
Pu 0.0000 0.6639 0.5870  3 Pu 2.56-2.62, 2 Ru 2.81, 1 Os 2.84
Pu 0.3361 0.0000 0.4130  3 Pu 2.56-2.62, 2 Ru 2.81, 1 Os 2.84
Pu 0.3361 0.3361 0.5870  3 Pu 2.56-2.62, 2 Ru 2.81, 1 Os 2.84
Pu 0.6639 0.0000 0.5870  3 Pu 2.56-2.62, 2 Ru 2.81, 1 Os 2.84
Pu 0.6639 0.6639 0.4130  3 Pu 2.56-2.62, 2 Ru 2.81, 1 Os 2.84
Os 0.0000 0.0000 0.0000  12 Pu 2.84-3.08, 2 Os 2.89
Ru 0.3333 0.6667 0.0000  12 Pu 2.81-3.06, 2 Ru 2.89
Ru 0.6667 0.3333 0.0000  12 Pu 2.81-3.06, 2 Ru 2.89



Computed, not measured: an optimized crystal structure of Pu5Os2Ru2 at the PBE-GGA level of DFT.

Lattice parameters (Å, degrees): 8.0697 8.0697 7.2581 90.00 90.00 52.57
Closest atoms and distances in Å follow each position.
Positions (direct):
Pu 0.0000 0.0000 0.0000  4 Os 2.81-2.83
Pu 0.0435 0.6744 0.6793  3 Ru 2.68-2.94, 1 Os 2.79
Pu 0.1744 0.5435 0.1793  3 Ru 2.68-2.94, 1 Os 2.79
Pu 0.3256 0.9565 0.6793  3 Ru 2.68-2.94, 1 Os 2.79
Pu 0.4565 0.8256 0.1793  3 Ru 2.68-2.94, 1 Os 2.79
Pu 0.5000 0.5000 0.5000  4 Os 2.81-2.83
Pu 0.5435 0.1744 0.8207  3 Ru 2.68-2.94, 1 Os 2.79
Pu 0.6744 0.0435 0.3207  3 Ru 2.68-2.94, 1 Os 2.79
Pu 0.8256 0.4565 0.8207  3 Ru 2.68-2.94, 1 Os 2.79
Pu 0.9565 0.3256 0.3207  3 Ru 2.68-2.94, 1 Os 2.79
Os 0.1288 0.8712 0.3659  1 Os 2.68, 4 Pu 2.79-2.83
Os 0.3712 0.6288 0.8659  1 Os 2.68, 4 Pu 2.79-2.83
Os 0.6288 0.3712 0.1341  1 Os 2.68, 4 Pu 2.79-2.83
Os 0.8712 0.1288 0.6341  1 Os 2.68, 4 Pu 2.79-2.83
Ru 0.2252 0.2252 0.0000  6 Pu 2.68-2.94
Ru 0.2748 0.2748 0.5000  6 Pu 2.68-2.94
Ru 0.7252 0.7252 0.5000  6 Pu 2.68-2.94
Ru 0.7748 0.7748 0.0000  6 Pu 2.68-2.94



Computed, not measured: an optimized crystal structure of Pu2Os3Ru at the PBE-GGA level of DFT.

Lattice parameters (Å, degrees): 5.3951 5.3951 5.3951 58.68 58.68 58.68
Closest atoms and distances in Å follow each position.
Positions (direct):
Pu 0.1251 0.1251 0.1251  3 Ru 3.10, 9 Os 3.13-3.17, 4 Pu 3.25-3.34
Pu 0.8749 0.8749 0.8749  3 Ru 3.10, 9 Os 3.13-3.17, 4 Pu 3.25-3.34
Os 0.0000 0.5000 0.5000  4 Os 2.64, 2 Ru 2.70
Os 0.5000 0.0000 0.5000  4 Os 2.64, 2 Ru 2.70
Os 0.5000 0.5000 0.0000  4 Os 2.64, 2 Ru 2.70
Ru 0.5000 0.5000 0.5000  6 Os 2.70



Computed, not measured: an optimized crystal structure of Pu4OsRu at the PBE-GGA level of DFT.

Calculated values
- Polymorph energy (0 for the lowest one): 0.0 meV per atom

Lattice parameters (Å, degrees): 5.4147 5.4147 5.8219 121.20 121.20 49.62
Closest atoms and distances in Å follow each position.
Positions (direct):
Pu 0.0000 0.0000 0.0000  4 Pu 2.51-2.80, 1 Os 2.77
Pu 0.0071 0.0071 0.5751  4 Pu 2.51-2.79
Pu 0.3348 0.3348 0.7372  4 Pu 2.52-2.79
Pu 0.3463 0.3463 0.3164  4 Pu 2.52-2.80, 1 Ru 2.75
Os 0.6983 0.6983 0.9377  6 Pu 2.77-3.06, 2 Ru 2.89-3.00
Ru 0.6446 0.6446 0.3760  6 Pu 2.75-3.05, 2 Os 2.89-3.00



Computed, not measured: an optimized crystal structure of Pu4OsRu at the PBE-GGA level of DFT.

Calculated values
- Polymorph energy (0 for the lowest one): 38.8 meV per atom

Lattice parameters (Å, degrees): 7.6480 7.6480 6.0240 107.33 107.33 112.33
Closest atoms and distances in Å follow each position.
Positions (direct):
Pu 0.0586 0.6869 0.8958  2 Os 2.89-2.95, 2 Ru 2.94-2.96, 1 Pu 3.24
Pu 0.2390 0.3793 0.7137  2 Ru 2.78-2.88, 2 Os 2.84-2.97, 1 Pu 3.04
Pu 0.3131 0.9414 0.6042  2 Os 2.89-2.95, 2 Ru 2.94-2.96, 1 Pu 3.24
Pu 0.3793 0.2390 0.2137  2 Ru 2.78-2.88, 2 Os 2.84-2.97, 1 Pu 3.04
Pu 0.6207 0.7610 0.7863  2 Ru 2.78-2.88, 2 Os 2.84-2.97, 1 Pu 3.04
Pu 0.6869 0.0586 0.3958  2 Os 2.89-2.95, 2 Ru 2.94-2.96, 1 Pu 3.24
Pu 0.7610 0.6207 0.2863  2 Ru 2.78-2.88, 2 Os 2.84-2.97, 1 Pu 3.04
Pu 0.9414 0.3131 0.1042  2 Os 2.89-2.95, 2 Ru 2.94-2.96, 1 Pu 3.24
Os 0.3694 0.6306 0.2500  8 Pu 2.84-2.97
Os 0.6306 0.3694 0.7500  8 Pu 2.84-2.97
Ru 0.0035 0.9965 0.2500  8 Pu 2.78-2.96, 2 Ru 3.01
Ru 0.9965 0.0035 0.7500  8 Pu 2.78-2.96, 2 Ru 3.01



Computed, not measured: an optimized crystal structure of Pu6OsRu3 at the PBE-GGA level of DFT.

Lattice parameters (Å, degrees): 5.7396 5.7396 12.4389 90.00 90.00 120.00
Closest atoms and distances in Å follow each position.
Positions (direct):
Pu 0.1455 0.3688 0.3426  3 Pu 2.35-2.59
Pu 0.1455 0.7767 0.1574  3 Pu 2.35-2.59
Pu 0.2233 0.3688 0.1574  3 Pu 2.35-2.59
Pu 0.2233 0.8545 0.3426  3 Pu 2.35-2.59
Pu 0.3688 0.1455 0.6574  3 Pu 2.35-2.59
Pu 0.3688 0.2233 0.8426  3 Pu 2.35-2.59
Pu 0.6312 0.7767 0.3426  3 Pu 2.35-2.59
Pu 0.6312 0.8545 0.1574  3 Pu 2.35-2.59
Pu 0.7767 0.1455 0.8426  3 Pu 2.35-2.59
Pu 0.7767 0.6312 0.6574  3 Pu 2.35-2.59
Pu 0.8545 0.2233 0.6574  3 Pu 2.35-2.59
Pu 0.8545 0.6312 0.8426  3 Pu 2.35-2.59
Os 0.3333 0.6667 0.7500  2 Ru 2.53
Os 0.6667 0.3333 0.2500  2 Ru 2.53
Ru 0.0000 0.0000 0.0000  6 Pu 2.69
Ru 0.0000 0.0000 0.5000  6 Pu 2.69
Ru 0.3333 0.6667 0.5464  1 Os 2.53
Ru 0.3333 0.6667 0.9536  1 Os 2.53
Ru 0.6667 0.3333 0.0464  1 Os 2.53
Ru 0.6667 0.3333 0.4536  1 Os 2.53



Computed, not measured: an optimized crystal structure of Pu2OsRu3 at the PBE-GGA level of DFT.

Lattice parameters (Å, degrees): 5.3806 5.3806 8.4550 90.00 90.00 120.00
Closest atoms and distances in Å follow each position.
Positions (direct):
Pu 0.3333 0.6667 0.0709  4 Pu 3.03-3.33, 9 Ru 3.09-3.11, 3 Os 3.16
Pu 0.3333 0.6667 0.4291  4 Pu 3.03-3.33, 9 Ru 3.09-3.11, 3 Os 3.16
Pu 0.6667 0.3333 0.5709  4 Pu 3.03-3.33, 9 Ru 3.09-3.11, 3 Os 3.16
Pu 0.6667 0.3333 0.9291  4 Pu 3.03-3.33, 9 Ru 3.09-3.11, 3 Os 3.16
Os 0.0000 0.0000 0.0000  6 Ru 2.65
Os 0.0000 0.0000 0.5000  6 Ru 2.65
Ru 0.1707 0.3415 0.7500  4 Ru 2.62-2.76, 2 Os 2.65
Ru 0.1707 0.8293 0.7500  4 Ru 2.62-2.76, 2 Os 2.65
Ru 0.3415 0.1707 0.2500  4 Ru 2.62-2.76, 2 Os 2.65
Ru 0.6585 0.8293 0.7500  4 Ru 2.62-2.76, 2 Os 2.65
Ru 0.8293 0.1707 0.2500  4 Ru 2.62-2.76, 2 Os 2.65
Ru 0.8293 0.6585 0.2500  4 Ru 2.62-2.76, 2 Os 2.65



Computed, not measured: an optimized crystal structure of Pu4OsRu3 at the PBE-GGA level of DFT.

Lattice parameters (Å, degrees): 7.6158 7.6140 4.7593 71.81 71.77 36.42
Closest atoms and distances in Å follow each position.
Positions (direct):
Pu 0.1249 0.1249 0.3751  6 Ru 2.92-2.93, 2 Os 2.93
Pu 0.3751 0.3751 0.1249  6 Ru 2.92-2.93, 2 Os 2.93
Pu 0.6249 0.6249 0.8751  6 Ru 2.92-2.93, 2 Os 2.93
Pu 0.8751 0.8751 0.6249  6 Ru 2.92-2.93, 2 Os 2.93
Os 0.0000 0.0000 0.0000  8 Pu 2.93
Ru 0.2506 0.2506 0.7494  8 Pu 2.92-2.93
Ru 0.5000 0.5000 0.5000  8 Pu 2.93
Ru 0.7494 0.7494 0.2506  8 Pu 2.92-2.93



It is found that the size of the total moment values, taken in the order of the records, are 4.74 17.66 8.54 21.67 0.00 23.13 8.45 0.46 21.10 0.00 8.62 17.34 μB per formula unit.
It is found that the final energy values, taken in the order of the records, are -10.726 -12.686 -12.340 -12.107 -12.709 -12.524 -12.036 -13.042 -13.003 -12.015 -11.402 -12.147 eV per atom.
It is found that the formation energy from the elements values, taken in the order of the records, are -361 1 -48 -108 154 -5 -97 -70 -31 490 -115 -99 meV per atom.